(1)
BeGaBr2, optimized geometry, DFT PBE; energy above the most stable polymorph in this dataset = 599.2 meV per atom; formation energy from raw total energies = 288 meV/atom; SG = Fm-3m
1.0
-2.6925 -0.8978 4.2520
-4.0766 -3.0809 -0.1586
0.1858 -4.6017 2.2194
Be Ga Br
1 1 2
Direct
0.0000 0.0000 0.0000 Be
0.5000 0.5000 0.5000 Ga
0.2500 0.2500 0.2500 Br
0.7500 0.7500 0.7500 Br

***

(2)
Be2GaBr, optimized geometry, DFT PBE; energy above the most stable polymorph in this dataset = 555.8 meV per atom; formation energy from raw total energies = 1000 meV/atom; SG = Fm-3m
1.0
3.7030 -1.5124 2.0625
-0.3141 -3.2702 3.0759
1.5681 -4.1161 -0.9236
Be Ga Br
2 1 1
Direct
0.2500 0.2500 0.2500 Be
0.7500 0.7500 0.7500 Be
0.0000 0.0000 0.0000 Ga
0.5000 0.5000 0.5000 Br